(1)
Below is a relaxed structure of Cs2NpCd2Te4, with properties calculated at the PBE level.

total magnetic moment: 4.705 μB/cell
raw formation energy: -6.167 eV per formula unit
E: -3.91 eV/atom

The structure in POSCAR format:
```
Cs2NpCd2Te4
1.0
4.7942 0.0000 0.0000
0.0000 8.9783 0.5586
-2.3971 -3.0299 7.9971
Te Cd Np Cs
4 2 1 2
Direct
0.2004 0.1749 0.4008 Te
0.4935 0.2361 0.9871 Te
0.7996 0.8251 0.5992 Te
0.5065 0.7639 0.0129 Te
0.3335 0.0170 0.6670 Cd
0.6665 0.9830 0.3330 Cd
0.0000 0.0000 0.0000 Np
0.1299 0.5638 0.2597 Cs
0.8701 0.4362 0.7403 Cs
```

---

(2)
Below is a relaxed structure of Cs3Np2CdTe6, with properties calculated at the PBE level.

total magnetic moment: 7.000 μB/cell
raw formation energy: -9.462 eV per formula unit
E: -4.81 eV/atom

The structure in POSCAR format:
```
Cs3Np2CdTe6
1.0
7.9798 -0.0077 0.0020
-3.9947 6.9080 0.0020
-1.3268 -2.2974 8.8656
Np Te Cs Cd
2 6 3 1
Direct
0.3330 0.6670 0.0000 Np
0.6670 0.3330 0.0000 Np
0.3998 0.0627 0.1881 Te
0.7266 0.7266 0.1859 Te
0.0627 0.3998 0.1881 Te
0.2734 0.2734 0.8141 Te
0.9373 0.6002 0.8119 Te
0.6002 0.9373 0.8119 Te
0.8363 0.1637 0.5000 Cs
0.5000 0.5000 0.5000 Cs
0.1637 0.8363 0.5000 Cs
0.0000 0.0000 0.0000 Cd
```

---

(3)
Below is a relaxed structure of Cs3CdO2, with properties calculated at the PBE level.

total magnetic moment: 0.000 μB/cell
raw formation energy: -5.030 eV per formula unit
E: -3.07 eV/atom

The structure in POSCAR format:
```
Cs3CdO2
1.0
6.5805 0.0000 0.0000
0.0000 8.2603 0.0000
-3.2902 -4.1302 10.3119
Cs O Cd
6 4 2
Direct
0.8435 0.5935 0.6870 Cs
0.8435 0.0935 0.6870 Cs
0.5000 0.7500 0.0000 Cs
0.1565 0.4065 0.3130 Cs
0.1565 0.9065 0.3130 Cs
0.5000 0.2500 0.0000 Cs
0.2709 0.5742 0.1485 O
0.7291 0.4258 0.8515 O
0.1224 0.9258 0.8515 O
0.8776 0.0742 0.1485 O
0.0000 0.5000 0.0000 Cd
0.0000 0.0000 0.0000 Cd
```

---

(4)
Below is a relaxed structure of Cs5Cd2O, with properties calculated at the PBE level.

total magnetic moment: 0.000 μB/cell
raw formation energy: -2.747 eV per formula unit
E: -1.73 eV/atom

The structure in POSCAR format:
```
Cs5Cd2O
1.0
7.6237 -1.7276 -1.8057
-3.2990 7.0867 -1.8059
1.5589 1.9316 7.9441
Cs Cd O
5 2 1
Direct
0.2993 0.9688 0.9454 Cs
0.9688 0.2993 0.9454 Cs
0.7468 0.7468 0.6990 Cs
0.6982 0.6982 0.1652 Cs
0.1899 0.1899 0.3548 Cs
0.7010 0.1988 0.4400 Cd
0.1988 0.7010 0.4399 Cd
0.9743 0.9743 0.0103 O
```

---

(5)
Below is a relaxed structure of Cs8Cd6O, with properties calculated at the PBE level.

total magnetic moment: 0.000 μB/cell
raw formation energy: -2.586 eV per formula unit
E: -1.32 eV/atom

The structure in POSCAR format:
```
Cs8Cd6O
1.0
9.3227 -0.1180 2.6896
1.9913 9.1084 2.6896
-0.1485 -0.1180 9.7018
Cs Cd O
8 6 1
Direct
0.1169 0.7105 0.9233 Cs
0.8831 0.2895 0.0767 Cs
0.7105 0.9233 0.1169 Cs
0.0767 0.8831 0.2895 Cs
0.6094 0.6094 0.6094 Cs
0.3906 0.3906 0.3906 Cs
0.2895 0.0767 0.8831 Cs
0.9233 0.1169 0.7105 Cs
0.4655 0.3609 0.9877 Cd
0.6391 0.0123 0.5345 Cd
0.9877 0.4655 0.3609 Cd
0.0123 0.5345 0.6391 Cd
0.3609 0.9877 0.4655 Cd
0.5345 0.6391 0.0123 Cd
0.0000 0.0000 0.0000 O
```

---

(6)
Below is a relaxed structure of CsCdO, with properties calculated at the PBE level.

total magnetic moment: 0.000 μB/cell
raw formation energy: -2.555 eV per formula unit
E: -3.09 eV/atom

The structure in POSCAR format:
```
CsCdO
1.0
-1.9393 -2.8671 0.7754
4.4052 -4.1426 3.8130
-2.4116 1.2500 6.7041
Cd Cs O
2 2 2
Direct
0.5002 0.1504 0.8491 Cd
0.4998 0.8496 0.1509 Cd
0.3297 0.6727 0.6679 Cs
0.6703 0.3273 0.3321 Cs
0.9980 0.7019 0.3020 O
0.0020 0.2981 0.6980 O
```